Record 1
VASP calculation (meta-GGA SCAN) on Ga3BIr at its PBEsol-relaxed geometry.

Unit cell a=4.707 b=4.707 c=4.707 alpha=90.00 beta=90.00 gamma=90.00
Atoms (fractional coordinates):
Ga 0.000 0.000 0.500
Ga 0.000 0.500 0.000
Ga 0.500 0.000 0.000
B 0.500 0.500 0.500
Ir 0.000 0.000 0.000

final energy	-24.846	eV/atom
M_tot	0.0	μB/f.u.
energy relative to the elements	0.67	eV per atom
SG	No. 221

---

Record 2
VASP calculation (meta-GGA SCAN) on BeSb2TePb at its PBEsol-relaxed geometry.

Unit cell a=5.623 b=5.623 c=5.874 alpha=90.00 beta=90.00 gamma=90.00
Atoms (fractional coordinates):
Be 0.000 0.000 0.000
Sb 0.000 0.500 0.500
Sb 0.500 0.000 0.500
Te 0.500 0.500 0.500
Pb 0.500 0.500 0.000

final energy	-37.074	eV/atom
M_tot	0.0	μB/f.u.
SG	No. 123

---

Record 3
VASP calculation (meta-GGA SCAN) on Ca2TeF at its PBEsol-relaxed geometry.

Unit cell a=6.293 b=6.293 c=6.293 alpha=109.97 beta=109.97 gamma=108.48
Atoms (fractional coordinates):
Ca 0.033 0.625 0.908
Ca 0.375 0.283 0.408
Ca 0.717 0.125 0.092
Ca 0.875 0.967 0.592
Te 0.250 0.750 0.500
Te 0.500 0.500 0.000
F 0.000 0.000 0.000
F 0.750 0.250 0.500

final energy	-17.183	eV/atom
M_tot	1.0	μB/f.u.
SG	No. 122

---

Record 4
VASP calculation (meta-GGA SCAN) on SbPb3 at its PBEsol-relaxed geometry.

Unit cell a=6.345 b=6.345 c=6.345 alpha=141.66 beta=131.78 gamma=63.22
Atoms (fractional coordinates):
Sb 0.000 0.000 0.000
Pb 0.231 0.731 0.500
Pb 0.500 0.500 0.000
Pb 0.769 0.269 0.500

final energy	-66.095	eV/atom
M_tot	0.0	μB/f.u.
SG	No. 71